An optimized crystal structure of TaSbPb2, computed with PBE-GGA.

Summary:
The calculated density comes out at 11.72 g cm⁻³. For the total DFT energy (no corrections), the calculation gives -5.241 eV per atom. The uncorrected formation energy is 2.43 eV per formula unit.

a b c (Å): 3.6454 3.6454 7.6466
angles (deg): 90.00 90.00 90.00
With the nearest neighbours (Å) after each atom.
Positions (direct):
Ta  0.0000  0.0000  0.0000  8 Pb 3.05
Sb  0.0000  0.0000  0.5000  8 Pb 3.39, 4 Sb 3.65
Pb  0.5000  0.5000  0.2124  4 Ta 3.05, 1 Pb 3.25, 4 Sb 3.39
Pb  0.5000  0.5000  0.7876  4 Ta 3.05, 1 Pb 3.25, 4 Sb 3.39

=====

An optimized crystal structure of K2Y2IrO6, computed with PBE-GGA.

Summary:
The calculated density comes out at 4.92 g cm⁻³. For the total DFT energy (no corrections), the calculation gives -7.029 eV per atom. The uncorrected formation energy is -23.58 eV per formula unit.

a b c (Å): 5.7672 5.7672 6.5851
angles (deg): 97.67 97.67 119.49
With the nearest neighbours (Å) after each atom.
Positions (direct):
K  0.1599  0.8401  0.0000  6 O 2.72-3.00
K  0.8401  0.1599  0.0000  6 O 2.72-3.00
Y  0.3357  0.6643  0.5000  6 O 2.28-2.30
Y  0.6643  0.3357  0.5000  6 O 2.28-2.30
Ir  0.0000  0.0000  0.5000  6 O 2.10
O  0.0482  0.3599  0.6731  1 Ir 2.10, 2 Y 2.28-2.30
O  0.2515  0.2515  0.3228  1 Ir 2.10, 2 Y 2.29
O  0.3599  0.0482  0.6731  1 Ir 2.10, 2 Y 2.28-2.30
O  0.6401  0.9518  0.3269  1 Ir 2.10, 2 Y 2.28-2.30
O  0.7485  0.7485  0.6772  1 Ir 2.10, 2 Y 2.29
O  0.9518  0.6401  0.3269  1 Ir 2.10, 2 Y 2.28-2.30

=====

An optimized crystal structure of PdRh3O, computed with PBE-GGA.

Summary:
The calculated density comes out at 10.26 g cm⁻³. For the total DFT energy (no corrections), the calculation gives -6.198 eV per atom. The value obtained for the distance to the lowest polymorph of the same formula is 0 meV/atom. The uncorrected formation energy is 1.21 eV per formula unit.

a b c (Å): 4.1168 4.1168 4.1168
angles (deg): 90.00 90.00 90.00
With the nearest neighbours (Å) after each atom.
Positions (direct):
Pd  0.0000  0.0000  0.0000  12 Rh 2.91
Rh  0.0000  0.5000  0.5000  2 O 2.06
Rh  0.5000  0.0000  0.5000  2 O 2.06
Rh  0.5000  0.5000  0.0000  2 O 2.06
O  0.5000  0.5000  0.5000  6 Rh 2.06

=====

An optimized crystal structure of LaPmZnTc, computed with PBE-GGA.

Summary:
The calculated density comes out at 7.87 g cm⁻³. For the total DFT energy (no corrections), the calculation gives -5.357 eV per atom.

a b c (Å): 5.1108 5.1108 5.1108
angles (deg): 60.00 60.00 60.00
With the nearest neighbours (Å) after each atom.
Positions (direct):
La  0.0000  0.0000  0.0000  4 Zn 3.13, 4 Tc 3.13
Pm  0.5000  0.5000  0.5000  4 Tc 3.13, 4 Zn 3.13
Zn  0.7500  0.7500  0.7500  4 Pm 3.13, 4 La 3.13
Tc  0.2500  0.2500  0.2500  4 Pm 3.13, 4 La 3.13

=====

An optimized crystal structure of La2TiMoBr, computed with PBE-GGA.

Summary:
The calculated density comes out at 5.48 g cm⁻³. For the total DFT energy (no corrections), the calculation gives -5.678 eV per atom. The uncorrected formation energy is 1.87 eV per formula unit.

a b c (Å): 5.8896 5.8896 4.3829
angles (deg): 90.00 90.00 90.00
With the nearest neighbours (Å) after each atom.
Positions (direct):
La  0.0000  0.5000  0.0000  2 Ti 2.94
La  0.5000  0.0000  0.0000  2 Ti 2.94
Ti  0.0000  0.0000  0.0000  2 Mo 2.19
Mo  0.0000  0.0000  0.5000  2 Ti 2.19
Br  0.5000  0.5000  0.5000  8 La 3.67

=====

An optimized crystal structure of LaAgC3, computed with PBE-GGA.

Summary:
The calculated density comes out at 6.23 g cm⁻³. For the total DFT energy (no corrections), the calculation gives -5.042 eV per atom. The value obtained for the distance to the lowest polymorph of the same formula is 0 meV/atom.

a b c (Å): 4.2239 4.2239 4.2239
angles (deg): 90.00 90.00 90.00
With the nearest neighbours (Å) after each atom.
Positions (direct):
La  0.0000  0.0000  0.0000  12 C 2.99
Ag  0.5000  0.5000  0.5000  6 C 2.11
C  0.0000  0.5000  0.5000  2 Ag 2.11
C  0.5000  0.0000  0.5000  2 Ag 2.11
C  0.5000  0.5000  0.0000  2 Ag 2.11

=====

An optimized crystal structure of Dy4CuRh, computed with PBE-GGA.

Summary:
The calculated density comes out at 7.70 g cm⁻³. For the total DFT energy (no corrections), the calculation gives -5.201 eV per atom. The value obtained for the distance to the lowest polymorph of the same formula is 169 meV/atom.

a b c (Å): 7.7452 7.7452 7.7452
angles (deg): 105.60 105.60 117.53
With the nearest neighbours (Å) after each atom.
Positions (direct):
Dy  0.2014  0.0000  0.2014  1 Rh 2.73, 2 Cu 2.78-2.80
Dy  0.2395  0.5362  0.2966  2 Rh 2.73-2.78, 1 Cu 2.81
Dy  0.2395  0.9429  0.7034  2 Rh 2.73-2.78, 1 Cu 2.81
Dy  0.2862  0.4895  0.7966  2 Rh 2.73-2.78, 1 Cu 2.81
Dy  0.6929  0.4895  0.2034  2 Rh 2.73-2.78, 1 Cu 2.81
Dy  0.7500  0.0486  0.2986  1 Rh 2.73, 2 Cu 2.78-2.80
Dy  0.7500  0.4514  0.7014  1 Rh 2.73, 2 Cu 2.78-2.80
Dy  0.7986  0.0000  0.7986  1 Rh 2.73, 2 Cu 2.78-2.80
Cu  0.4963  0.9963  0.5000  6 Dy 2.78-2.81
Cu  0.7463  0.7463  0.0000  6 Dy 2.78-2.81
Rh  0.2452  0.2452  0.0000  6 Dy 2.73-2.78
Rh  0.9952  0.4952  0.5000  6 Dy 2.73-2.78

=====

An optimized crystal structure of LaTiSi3, computed with PBE-GGA.

Summary:
The calculated density comes out at 4.22 g cm⁻³. For the total DFT energy (no corrections), the calculation gives -6.055 eV per atom. The uncorrected formation energy is -1.18 eV per formula unit.

a b c (Å): 4.7422 4.7422 4.7422
angles (deg): 90.00 90.00 90.00
With the nearest neighbours (Å) after each atom.
Positions (direct):
La  0.0000  0.0000  0.0000  12 Si 3.35
Ti  0.5000  0.5000  0.5000  6 Si 2.37
Si  0.0000  0.5000  0.5000  2 Ti 2.37
Si  0.5000  0.0000  0.5000  2 Ti 2.37
Si  0.5000  0.5000  0.0000  2 Ti 2.37

=====

An optimized crystal structure of PmPuReN4, computed with PBE-GGA.

Summary:
The calculated density comes out at 11.23 g cm⁻³. For the total DFT energy (no corrections), the calculation gives -10.077 eV per atom. The uncorrected formation energy is -5.70 eV per formula unit.

a b c (Å): 6.8175 6.8175 5.4581
angles (deg): 90.00 90.00 132.64
With the nearest neighbours (Å) after each atom.
Positions (direct):
Pm  0.1043  0.8957  0.7500  1 N 2.32
Pm  0.8957  0.1043  0.2500  1 N 2.32
Pu  0.4002  0.5998  0.7500  1 N 2.16
Pu  0.5998  0.4002  0.2500  1 N 2.16
Re  0.2429  0.7571  0.2500  5 N 1.94-2.02
Re  0.7571  0.2429  0.7500  5 N 1.94-2.02
N  0.0000  0.5000  0.0000  2 Re 1.94
N  0.0000  0.5000  0.5000  2 Re 1.94
N  0.0812  0.9188  0.2500  1 Re 2.02
N  0.4270  0.5730  0.2500  1 Pu 2.16, 1 Re 2.30
N  0.5000  0.0000  0.0000  2 Re 1.94
N  0.5000  0.0000  0.5000  2 Re 1.94
N  0.5730  0.4270  0.7500  1 Pu 2.16, 1 Re 2.30
N  0.9188  0.0812  0.7500  1 Re 2.02

=====

An optimized crystal structure of ThScTl3, computed with PBE-GGA.

Summary:
The calculated density comes out at 10.62 g cm⁻³. For the total DFT energy (no corrections), the calculation gives -4.241 eV per atom.

a b c (Å): 9.2687 3.6834 16.3085
angles (deg): 90.00 90.00 90.00
With the nearest neighbours (Å) after each atom.
Positions (direct):
Th  0.0405  0.2500  0.1495  8 Tl 3.27-3.42
Th  0.4595  0.7500  0.6495  8 Tl 3.27-3.42
Th  0.5405  0.2500  0.3505  8 Tl 3.27-3.42
Th  0.9595  0.7500  0.8505  8 Tl 3.27-3.42
Sc  0.1151  0.2500  0.5577  6 Tl 3.04-3.30, 2 Sc 3.39
Sc  0.3849  0.7500  0.0577  6 Tl 3.04-3.30, 2 Sc 3.39
Sc  0.6151  0.2500  0.9423  6 Tl 3.04-3.30, 2 Sc 3.39
Sc  0.8849  0.7500  0.4423  6 Tl 3.04-3.30, 2 Sc 3.39
Tl  0.1046  0.2500  0.3553  3 Sc 3.09-3.30, 4 Tl 3.25-3.26, 1 Th 3.41
Tl  0.1816  0.2500  0.9654  2 Sc 3.04, 2 Tl 3.25, 3 Th 3.27-3.34
Tl  0.1907  0.2500  0.7388  1 Sc 3.04, 2 Tl 3.26, 2 Th 3.36
Tl  0.3093  0.7500  0.2388  1 Sc 3.04, 2 Tl 3.26, 2 Th 3.36
Tl  0.3184  0.7500  0.4654  2 Sc 3.04, 2 Tl 3.25, 3 Th 3.27-3.34
Tl  0.3954  0.7500  0.8553  3 Sc 3.09-3.30, 4 Tl 3.25-3.26, 1 Th 3.41
Tl  0.6046  0.2500  0.1447  3 Sc 3.09-3.30, 4 Tl 3.25-3.26, 1 Th 3.41
Tl  0.6816  0.2500  0.5346  2 Sc 3.04, 2 Tl 3.25, 3 Th 3.27-3.34
Tl  0.6907  0.2500  0.7612  1 Sc 3.04, 2 Tl 3.26, 2 Th 3.36
Tl  0.8093  0.7500  0.2612  1 Sc 3.04, 2 Tl 3.26, 2 Th 3.36
Tl  0.8184  0.7500  0.0346  2 Sc 3.04, 2 Tl 3.25, 3 Th 3.27-3.34
Tl  0.8954  0.7500  0.6447  3 Sc 3.09-3.30, 4 Tl 3.25-3.26, 1 Th 3.41

=====

An optimized crystal structure of CsSc2Si, computed with PBE-GGA.

Summary:
The calculated density comes out at 3.09 g cm⁻³. For the total DFT energy (no corrections), the calculation gives -4.636 eV per atom. The value obtained for the distance to the lowest polymorph of the same formula is 0 meV/atom. The uncorrected formation energy is 0.40 eV per formula unit.

a b c (Å): 10.6257 10.6257 10.6257
angles (deg): 20.99 20.99 20.99
With the nearest neighbours (Å) after each atom.
Positions (direct):
Cs  0.0000  0.0000  0.0000  2 Sc 3.76, 6 Cs 3.87
Sc  0.1208  0.1208  0.1208  3 Si 2.65
Sc  0.8792  0.8792  0.8792  3 Si 2.65
Si  0.5000  0.5000  0.5000  6 Sc 2.65

=====

An optimized crystal structure of Ti4MoPb, computed with PBE-GGA.

Summary:
The calculated density comes out at 6.47 g cm⁻³. For the total DFT energy (no corrections), the calculation gives -7.321 eV per atom. The value obtained for the distance to the lowest polymorph of the same formula is 443 meV/atom.

a b c (Å): 4.5241 4.5241 7.6296
angles (deg): 107.23 107.23 59.84
With the nearest neighbours (Å) after each atom.
Positions (direct):
Ti  0.1119  0.1119  0.3338  1 Mo 2.39
Ti  0.3646  0.3646  0.0933  3 Mo 2.69-2.70, 1 Pb 2.92, 3 Ti 2.93
Ti  0.6354  0.6354  0.9067  3 Mo 2.69-2.70, 1 Pb 2.92, 3 Ti 2.93
Ti  0.8881  0.8881  0.6662  1 Mo 2.39
Mo  0.0000  0.0000  0.0000  2 Ti 2.39
Pb  0.5000  0.5000  0.5000  8 Ti 2.87-2.92

=====

The lowest calculated density belongs to which entry? CsSc2Si

=====

Which formula does entry 7 have? Dy4CuRh

=====

calculated density of number 12 (Ti4MoPb)? 6.47 g cm⁻³

=====

The highest total DFT energy (no corrections) belongs to which entry? ThScTl3